Crystalline NaAc2Sn2 at its relaxed geometry, computed with PBE.

abc: 8.854 13.023 6.716
angles: 90.00 90.00 90.00
Space group Ibam (No. 72)
Symmetry-distinct sites (fractional):
Na  0.000  0.000  0.250 x4
Ac  0.152  0.361  0.000 x8
Sn  0.231  0.384  0.500 x8

## Properties
Final energy: -3.9203 eV/atom
M_tot: 0.0 μB/f.u.
Offset from the most stable computed form: 149 meV per atom


Crystalline NaAc7Sn5 at its relaxed geometry, computed with PBE.

abc: 6.991 11.707 11.835
angles: 90.00 90.00 90.00
Space group Imm2 (No. 44)
Symmetry-distinct sites (fractional):
Na  0.000  0.000  0.000 x2
Ac  0.000  0.000  0.315 x2
Ac  0.000  0.000  0.662 x2
Ac  0.000  0.323  0.444 x4
Ac  0.000  0.332  0.966 x4
Ac  0.000  0.500  0.691 x2
Sn  0.000  0.500  0.208 x2
Sn  0.245  0.245  0.206 x8

## Properties
Final energy: -4.2525 eV/atom
M_tot: 0.0 μB/f.u.